Computed, not measured: a geometry-optimized SmMn9Si4 structure at the PBE level of DFT.

The structure in POSCAR format:
```
SmMn9Si4
1.0
-0.9617 -7.1000 -3.2179
6.1639 -2.6774 4.0654
-6.1393 3.3854 3.9507
Si Mn Sm
8 18 2
direct
0.7985 0.9456 0.2441 Si
0.5544 0.7015 0.7559 Si
0.2985 0.7985 0.2441 Si
0.9456 0.4456 0.2441 Si
0.7015 0.2015 0.7559 Si
0.0544 0.5544 0.7559 Si
0.2015 0.0544 0.7559 Si
0.4456 0.2985 0.2441 Si
0.4421 0.6908 0.0000 Mn
0.9421 0.8092 0.0000 Mn
0.0579 0.1908 0.0000 Mn
0.5000 0.0000 0.0000 Mn
0.2049 0.7049 0.6478 Mn
0.5579 0.3092 0.0000 Mn
0.3092 0.4421 0.0000 Mn
0.7951 0.2951 0.3522 Mn
0.7049 0.4429 0.6478 Mn
0.0571 0.7951 0.3522 Mn
0.8092 0.0579 0.0000 Mn
0.4429 0.9429 0.6478 Mn
0.0000 0.5000 0.0000 Mn
0.9429 0.2049 0.6478 Mn
0.1908 0.9421 0.0000 Mn
0.6908 0.5579 0.0000 Mn
0.2951 0.5571 0.3522 Mn
0.5571 0.0571 0.3522 Mn
0.2500 0.2500 0.5000 Sm
0.7500 0.7500 0.5000 Sm
```

Calculated values
Total magnetic moment in μB/atom: 0.466
Mass density in g/cm³: 7.00
E_tot in eV for the cell shown: -228.62
N(E_F) in states/eV per atom: 0.8305